Entry 1:
! PrInI4 | the Alexandria database | GGA-PBE | optimized geometry; values from VASP
! Magnetic moment = 0.00 μB per atom
! Space group = C2/m, No. 12
! Total energy = -3.3750 eV/atom
&SYSTEM
  ibrav = 0, nat = 6, ntyp = 3
/
ATOMIC_SPECIES
Pr 140.91 Pr.upf
In 114.82 In.upf
I 126.90 I.upf
CELL_PARAMETERS angstrom
8.577 -2.342 0.000
8.577 2.342 0.000
-4.168 0.000 7.634
ATOMIC_POSITIONS angstrom
Pr 0.000 0.000 0.000
In 6.492 0.000 3.817
I -1.394 0.000 6.253
I 3.454 0.000 5.658
I 9.531 0.000 1.976
I 14.379 0.000 1.381

Entry 2:
! Te6Br | the Alexandria database | GGA-PBE | optimized geometry; values from VASP
! Magnetic moment = 0.00 μB per atom
! Space group = Im-3m, No. 229
! Total energy = -2.5384 eV/atom
&SYSTEM
  ibrav = 0, nat = 7, ntyp = 2
/
ATOMIC_SPECIES
Te 127.60 Te.upf
Br 79.90 Br.upf
CELL_PARAMETERS angstrom
-4.333 4.333 4.333
4.333 -4.333 4.333
4.333 4.333 -4.333
ATOMIC_POSITIONS angstrom
Te 4.333 2.166 0.000
Te 4.333 0.000 2.166
Te 2.166 4.333 0.000
Te 2.166 0.000 4.333
Te 0.000 4.333 2.166
Te 0.000 2.166 4.333
Br 0.000 0.000 0.000

Entry 3:
! Cs3Ca2TlI9 | the Alexandria database | GGA-PBE | optimized geometry; values from VASP
! Magnetic moment = 0.00 μB per atom
! Space group = P-3m1, No. 164
! Total energy = -2.8378 eV/atom
&SYSTEM
  ibrav = 0, nat = 15, ntyp = 4
/
ATOMIC_SPECIES
Cs 132.91 Cs.upf
Ca 40.08 Ca.upf
Tl 204.38 Tl.upf
I 126.90 I.upf
CELL_PARAMETERS angstrom
8.859 0.000 0.000
-4.429 7.672 0.000
0.000 0.000 10.888
ATOMIC_POSITIONS angstrom
Cs 0.000 0.000 0.000
Cs 0.000 5.115 7.124
Cs 4.429 2.557 3.764
Ca 0.000 5.115 1.740
Ca 4.429 2.557 9.148
Tl 0.000 0.000 5.444
I -2.215 3.836 0.000
I 0.000 2.636 3.648
I -2.147 6.354 3.648
I 2.282 1.318 7.240
I 4.429 0.000 0.000
I 2.215 3.836 0.000
I 2.147 6.354 3.648
I 6.576 1.318 7.240
I 4.429 5.036 7.240

Entry 4:
! Rb2Pa2PdSe6 | the Alexandria database | GGA-PBE | optimized geometry; values from VASP
! Magnetic moment = 0.03 μB per atom
! Space group = C2/m, No. 12
! Total energy = -5.4648 eV/atom
&SYSTEM
  ibrav = 0, nat = 11, ntyp = 4
/
ATOMIC_SPECIES
Rb 85.47 Rb.upf
Pa 231.04 Pa.upf
Pd 106.42 Pd.upf
Se 78.96 Se.upf
CELL_PARAMETERS angstrom
3.422 -6.431 0.000
3.422 6.431 0.000
-2.163 0.000 8.251
ATOMIC_POSITIONS angstrom
Rb 3.422 4.466 0.000
Rb 3.422 -4.466 0.000
Pa 2.341 2.068 4.125
Pa 2.341 -2.068 4.125
Pd -1.081 0.000 4.125
Se 0.117 2.369 5.736
Se 1.129 0.000 2.645
Se 0.117 -2.369 5.736
Se 4.565 2.369 2.515
Se 3.554 0.000 5.606
Se 4.565 -2.369 2.515

Entry 5:
! MnTc2Br | the Alexandria database | GGA-PBE | optimized geometry; values from VASP
! Magnetic moment = 0.00 μB per atom
! Space group = I-42d, No. 122
! Total energy = -6.8566 eV/atom
&SYSTEM
  ibrav = 0, nat = 8, ntyp = 3
/
ATOMIC_SPECIES
Mn 54.94 Mn.upf
Tc 98.00 Tc.upf
Br 79.90 Br.upf
CELL_PARAMETERS angstrom
-2.705 2.705 5.472
2.705 -2.705 5.472
2.705 2.705 -5.472
ATOMIC_POSITIONS angstrom
Mn 0.000 0.000 0.000
Mn 0.000 2.705 2.736
Tc 4.057 1.123 -1.368
Tc 1.123 1.352 1.368
Tc -1.352 1.582 4.104
Tc 1.582 1.352 6.840
Br 2.705 0.000 2.736
Br 0.000 0.000 5.472

Entry 6:
! OsPd3Br | the Alexandria database | GGA-PBE | optimized geometry; values from VASP
! Magnetic moment = 0.00 μB per atom
! Space group = Pm-3m, No. 221
! Total energy = -4.5289 eV/atom
&SYSTEM
  ibrav = 0, nat = 5, ntyp = 3
/
ATOMIC_SPECIES
Os 190.23 Os.upf
Pd 106.42 Pd.upf
Br 79.90 Br.upf
CELL_PARAMETERS angstrom
4.866 0.000 0.000
0.000 4.866 0.000
0.000 0.000 4.866
ATOMIC_POSITIONS angstrom
Os 0.000 0.000 0.000
Pd 0.000 0.000 2.433
Pd 0.000 2.433 0.000
Pd 2.433 0.000 0.000
Br 2.433 2.433 2.433

Entry 7:
! NdCuGeTe3 | the Alexandria database | GGA-PBE | optimized geometry; values from VASP
! Magnetic moment = 0.00 μB per atom
! Space group = P2_1/m, No. 11
! Total energy = -4.4581 eV/atom
&SYSTEM
  ibrav = 0, nat = 12, ntyp = 4
/
ATOMIC_SPECIES
Nd 144.24 Nd.upf
Cu 63.55 Cu.upf
Ge 72.64 Ge.upf
Te 127.60 Te.upf
CELL_PARAMETERS angstrom
8.859 0.000 0.000
0.000 4.197 0.000
-1.625 0.000 9.202
ATOMIC_POSITIONS angstrom
Nd 1.031 1.049 2.259
Nd 6.203 3.148 6.943
Cu -0.349 1.049 5.260
Cu 7.584 3.148 3.942
Ge 1.679 3.148 7.871
Ge 5.555 1.049 1.331
Te -0.445 1.049 7.989
Te 1.255 3.148 4.710
Te 3.406 3.148 1.501
Te 3.829 1.049 7.702
Te 5.979 1.049 4.492
Te 7.679 3.148 1.213

Entry 8:
! ScSb3O | the Alexandria database | GGA-PBE | optimized geometry; values from VASP
! Magnetic moment = 0.00 μB per atom
! Space group = Pm-3m, No. 221
! Total energy = -4.0504 eV/atom
&SYSTEM
  ibrav = 0, nat = 5, ntyp = 3
/
ATOMIC_SPECIES
Sc 44.96 Sc.upf
Sb 121.76 Sb.upf
O 16.00 O.upf
CELL_PARAMETERS angstrom
5.374 0.000 0.000
0.000 5.374 0.000
0.000 0.000 5.374
ATOMIC_POSITIONS angstrom
Sc 0.000 0.000 0.000
Sb 0.000 0.000 2.687
Sb 0.000 2.687 0.000
Sb 2.687 0.000 0.000
O 2.687 2.687 2.687

Entry 9:
! AcTl2Ga | the Alexandria database | GGA-PBE | optimized geometry; values from VASP
! Magnetic moment = 0.00 μB per atom
! E_form = 0.17 eV/atom
! Space group = R-3m, No. 166
&SYSTEM
  ibrav = 0, nat = 4, ntyp = 3
/
ATOMIC_SPECIES
Ac 227.00 Ac.upf
Tl 204.38 Tl.upf
Ga 69.72 Ga.upf
CELL_PARAMETERS angstrom
1.835 1.059 11.391
-1.835 1.059 11.391
0.000 -2.119 11.391
ATOMIC_POSITIONS angstrom
Ac 0.000 0.000 0.000
Tl 0.000 0.000 3.385
Tl 0.000 0.000 30.788
Ga 0.000 0.000 17.086

Entry 10:
! NbTlAgN2 | the Alexandria database | GGA-PBE | optimized geometry; values from VASP
! Magnetic moment = 0.00 μB per atom
! Space group = P4/mmm, No. 123
! Total energy = -5.9061 eV/atom
&SYSTEM
  ibrav = 0, nat = 5, ntyp = 4
/
ATOMIC_SPECIES
Nb 92.91 Nb.upf
Tl 204.38 Tl.upf
Ag 107.87 Ag.upf
N 14.01 N.upf
CELL_PARAMETERS angstrom
4.086 0.000 0.000
0.000 4.086 0.000
0.000 0.000 5.692
ATOMIC_POSITIONS angstrom
Nb 0.000 0.000 0.000
Tl 2.043 2.043 2.846
Ag 0.000 0.000 2.846
N 0.000 2.043 0.000
N 2.043 0.000 0.000

Entry 11:
! Np3Ni3Bi4 | the Alexandria database | GGA-PBE | optimized geometry; values from VASP
! Magnetic moment = 0.97 μB per atom
! E_form = -0.07 eV/atom
! Space group = I-43d, No. 220
&SYSTEM
  ibrav = 0, nat = 20, ntyp = 3
/
ATOMIC_SPECIES
Np 237.00 Np.upf
Ni 58.69 Ni.upf
Bi 208.98 Bi.upf
CELL_PARAMETERS angstrom
-4.830 4.830 4.830
4.830 -4.830 4.830
4.830 4.830 -4.830
ATOMIC_POSITIONS angstrom
Np 4.830 -2.415 3.623
Np 3.623 4.830 -2.415
Np 4.830 2.415 1.208
Np 2.415 1.208 4.830
Np 1.208 4.830 2.415
Np -2.415 3.623 4.830
Ni 7.246 1.208 0.000
Ni 3.623 0.000 2.415
Ni 2.415 3.623 0.000
Ni 0.000 2.415 3.623
Ni 1.208 0.000 7.246
Ni 0.000 7.246 1.208
Bi 3.213 1.617 -1.617
Bi 5.629 -0.798 0.798
Bi 1.617 -1.617 3.213
Bi 1.617 1.617 1.617
Bi -1.617 3.213 1.617
Bi 0.798 5.629 -0.798
Bi -0.798 0.798 5.629
Bi 4.032 4.032 4.032

Entry 12:
! LaSb2Os | the Alexandria database | GGA-PBE | optimized geometry; values from VASP
! Magnetic moment = 0.00 μB per atom
! Space group = R-3m, No. 166
! Total energy = -6.4830 eV/atom
&SYSTEM
  ibrav = 0, nat = 4, ntyp = 3
/
ATOMIC_SPECIES
La 138.91 La.upf
Sb 121.76 Sb.upf
Os 190.23 Os.upf
CELL_PARAMETERS angstrom
2.206 1.274 5.859
-2.206 1.274 5.859
0.000 -2.548 5.859
ATOMIC_POSITIONS angstrom
La 0.000 0.000 0.000
Sb 0.000 0.000 3.951
Sb 0.000 0.000 13.625
Os 0.000 0.000 8.788